Material: K2Sr2Zn3
Method: DFT, PBE-GGA
State: optimized geometry

Calculated values
E   -1.2320 eV per atom

Cell lengths 5.6523, 5.6523, 27.6029 Å; angles 90.00, 90.00, 120.00 degrees
Last column: nearest neighbours and their distance in Å.
Space group R3m (No. 160, hexagonal axes)
Inequivalent atoms, fractional coordinates:
1 K 0.0000 0.0000 0.0000 [3 per cell]  7 Zn 3.40-3.48
2 K 0.0000 0.0000 0.4975 [3 per cell]  5 Zn 3.45-3.50
3 Sr 0.0000 0.0000 0.2499 [3 per cell]  7 Zn 3.36-3.44
4 Sr 0.0000 0.0000 0.7461 [3 per cell]  5 Zn 3.41-3.61
5 Zn 0.0000 0.0000 0.3716 [3 per cell]  4 Sr 3.36-3.46, 4 K 3.43-3.47
6 Zn 0.0000 0.0000 0.6225 [3 per cell]  4 Sr 3.41-3.44, 4 K 3.45-3.48
7 Zn 0.0000 0.0000 0.8768 [3 per cell]  4 K 3.40-3.50, 4 Sr 3.44-3.61



Material: DyCuIr
Method: DFT, PBE-GGA
State: optimized geometry

Calculated values
M_tot   0.001 μB per cell
Energy of formation   -0.1483 eV/atom
E   -5.8728 eV per atom

Cell lengths 6.2995, 6.2995, 6.2995 Å; angles 90.00, 90.00, 90.00 degrees
Last column: nearest neighbours and their distance in Å.
Space group F-43m (No. 216)
Inequivalent atoms, fractional coordinates:
1 Dy 0.0000 0.0000 0.0000 [4 per cell]  4 Ir 2.73
2 Cu 0.0000 0.0000 0.5000 [4 per cell]  4 Ir 2.73
3 Ir 0.2500 0.2500 0.7500 [4 per cell]  4 Dy 2.73, 4 Cu 2.73



Material: LiMg2Au
Method: DFT, PBE-GGA
State: optimized geometry

Calculated values
E   -2.5482 eV per atom

Cell lengths 6.5632, 6.5632, 6.5632 Å; angles 90.00, 90.00, 90.00 degrees
Last column: nearest neighbours and their distance in Å.
Space group Fm-3m (No. 225)
Inequivalent atoms, fractional coordinates:
1 Li 0.0000 0.0000 0.0000 [4 per cell]  8 Mg 2.84
2 Mg 0.2500 0.2500 0.2500 [8 per cell]  4 Au 2.84, 4 Li 2.84
3 Au 0.0000 0.0000 0.5000 [4 per cell]  8 Mg 2.84